[1]
# Sc2BeZnF

An optimized crystal structure of Sc2BeZnF (GGA-PBE, Alexandria via LeMat-Bulk).

POSCAR file:
```
Sc2BeZnF
1.0
-2.9259 -3.1506 2.7366
3.6741 -0.3599 3.5139
-1.5453 3.1157 1.9349
Sc Be Zn F
2 1 1 1
direct
0.0000 0.5000 0.0000 Sc
0.5000 0.0000 0.0000 Sc
0.0000 0.0000 0.5000 Be
0.0000 0.0000 0.0000 Zn
0.5000 0.5000 0.5000 F
```

Output
- symmetry = P4/mmm
- E_tot (eV per atom) = -3.984



[2]
# BaCa2Zr

An optimized crystal structure of BaCa2Zr (GGA-PBE, Alexandria via LeMat-Bulk).

POSCAR file:
```
BaCa2Zr
1.0
5.9389 0.0000 0.0000
0.0000 3.5661 0.0156
0.0000 1.1582 7.0600
Ca Ba Zr
2 1 1
direct
0.0000 0.0055 0.0267 Ca
0.0000 0.4945 0.4733 Ca
0.5000 0.7500 0.7500 Ba
0.5000 0.2500 0.2500 Zr
```

Output
- symmetry = P2/m
- polymorph energy (0 for the lowest one) (meV/atom) = 101



[3]
# ZrScTlBi2

An optimized crystal structure of ZrScTlBi2 (GGA-PBE, Alexandria via LeMat-Bulk).

POSCAR file:
```
ZrScTlBi2
1.0
5.7641 0.0000 0.0000
0.0000 5.4080 0.0000
0.0000 0.0000 5.7641
Sc Tl Bi Zr
1 1 2 1
direct
0.5000 0.5000 0.5000 Sc
0.0000 0.0000 0.0000 Tl
0.0000 0.0000 0.5000 Bi
0.5000 0.0000 0.0000 Bi
0.0000 0.5000 0.0000 Zr
```

Output
- symmetry = P4/mmm
- E_tot (eV per atom) = -4.063



Number 1: N(E_F) 5.13 states/eV/f.u.. Number 2: N(E_F) 6.59 states/eV/f.u.. Number 3: N(E_F) 4.67 states/eV/f.u..